[1]
Material: InSb2Te
Method: DFT, GGA-PBE
State: relaxed

abc: 6.322 6.322 6.322
angles: 145.17 127.00 65.00
Fractional coordinates of all 4 atoms:
In: 0.000 0.000 0.000
Sb: 0.265 0.765 0.500
Sb: 0.735 0.235 0.500
Te: 0.500 0.500 0.000

Its energy above the lowest structure with this stoichiometry is 0.2003 eV/atom. The space group is Immm (71). The value obtained for the formation energy from raw total energies is 114 meV/atom.


[2]
Material: CaMnIr
Method: DFT, GGA-PBE
State: relaxed

abc: 5.756 5.756 5.756
angles: 148.13 143.93 48.88
Fractional coordinates of all 3 atoms:
Ca: 0.000 0.000 0.000
Mn: 0.284 0.284 0.000
Ir: 0.698 0.698 0.000

Its energy above the lowest structure with this stoichiometry is 0.2040 eV/atom. The space group is Imm2 (44). As for the formation energy: -1 meV/atom.


[3]
Material: PrMgGe2Au4
Method: DFT, GGA-PBE
State: relaxed

abc: 8.985 8.985 8.985
angles: 30.10 30.10 30.10
Fractional coordinates of all 8 atoms:
Pr: 0.000 0.000 0.000
Mg: 0.500 0.500 0.500
Ge: 0.250 0.250 0.250
Ge: 0.750 0.750 0.750
Au: 0.139 0.139 0.139
Au: 0.395 0.395 0.395
Au: 0.605 0.605 0.605
Au: 0.861 0.861 0.861

The space group is R-3m (166). As for the formation energy: -429 meV/atom.


What did the first record say?
Material: InSb2Te
Method: DFT, GGA-PBE
State: relaxed

abc: 6.322 6.322 6.322
angles: 145.17 127.00 65.00
Fractional coordinates of all 4 atoms:
In: 0.000 0.000 0.000
Sb: 0.265 0.765 0.500
Sb: 0.735 0.235 0.500
Te: 0.500 0.500 0.000

Its energy above the lowest structure with this stoichiometry is 0.2003 eV/atom. The space group is Immm (71). The value obtained for the formation energy from raw total energies is 114 meV/atom.